(1)
# Rb3Nd3TcS8, optimized geometry, DFT PBE
data_Rb3Nd3TcS8
_chemical_formula_sum 'Rb9 Nd9 Tc3 S24'
_cell_length_a 8.1352
_cell_length_b 8.1352
_cell_length_c 23.5468
_cell_angle_alpha 90.00
_cell_angle_beta 90.00
_cell_angle_gamma 120.00
_symmetry_space_group_name_H-M 'R -3 m'
_symmetry_Int_Tables_number 166
_symmetry_space_group_name_Hall '-R 3 2"'
loop_
_atom_site_label
_atom_site_fract_x
_atom_site_fract_y
_atom_site_fract_z
Rb1 0.0000 0.5000 0.0000
Nd1 0.0000 0.5000 0.5000
Tc1 0.0000 0.0000 0.5000
S1 0.0000 0.0000 0.2330
S2 0.0375 0.5187 0.2267
# V: 1350 Å³/cell
# crystal system: trigonal
# formation energy from raw total energies: -21.82 eV/f.u.
# final energy: -5.49 eV/atom

(2)
# YTlMo2, optimized geometry, DFT PBE
data_YTlMo2
_chemical_formula_sum 'Y1 Tl1 Mo2'
_cell_length_a 3.748
_cell_length_b 4.561
_cell_length_c 4.694
_cell_angle_alpha 90.00
_cell_angle_beta 90.00
_cell_angle_gamma 90.00
_symmetry_space_group_name_H-M 'P m m m'
_symmetry_Int_Tables_number 47
loop_
_symmetry_equiv_pos_as_xyz
'x,y,z'
'-x,-y,-z'
'-x,-y,z'
'x,y,-z'
'x,-y,-z'
'-x,y,z'
'-x,y,-z'
'x,-y,z'
loop_
_atom_site_label
_atom_site_fract_x
_atom_site_fract_y
_atom_site_fract_z
Y1 0.000 0.000 0.000
Tl1 0.500 0.500 0.000
Mo1 0.000 0.500 0.500
Mo2 0.500 0.000 0.500
# V: 80 Å³/cell
# crystal system: orthorhombic
# DFT formation energy: 0.49 eV/atom
# density of states at the Fermi level: 3.9 states/eV per cell
# final energy: -7.13 eV/atom

Q: Among the records above, which one has the lowest V?
A: YTlMo2

Q: Which of these has the lowest final energy?
A: YTlMo2